Below is an optimized crystal structure of LiCa2Ir, with properties calculated at the PBE level.

POSCAR file:
```
LiCa2Ir
1.0
0.000 3.537 3.537
3.537 0.000 3.537
3.537 3.537 0.000
Li Ca Ir
1 2 1
Cartesian
0.000 0.000 0.000
1.768 1.768 1.768
5.305 5.305 5.305
3.537 3.537 3.537
```

Computed properties:
Formation energy (eV/atom): -0.227
ΔE to the lowest computed polymorph (meV per atom): 0
Density (g/cm3): 5.24
Magnetic moment (μB per formula unit): 0.0